1.
This record from Alexandria describes Rb3Na4 after structural relaxation. The functional is GGA-PBE.

abc: 14.295 14.295 14.295
angles: 161.04 154.13 32.27
Fractional coordinates of all 7 atoms:
Rb: 0.000 0.000 0.000
Rb: 0.303 0.803 0.500
Rb: 0.697 0.197 0.500
Na: 0.135 0.635 0.500
Na: 0.434 0.434 0.000
Na: 0.566 0.566 0.000
Na: 0.865 0.365 0.500

Summary:
The space group is Immm, No. 71. As for the density of states at the Fermi level: 4.682 states/eV/cell. The calculation puts the total energy at -1.124 eV/atom. As for the polymorph energy (0 for the lowest one): 0.005 eV/atom.

=====

2.
This record from Alexandria describes Rb7Na after structural relaxation. The functional is GGA-PBE.

abc: 9.806 9.806 9.806
angles: 60.00 60.00 60.00
Fractional coordinates of all 8 atoms:
Rb: 0.000 0.000 0.000
Rb: 0.000 0.000 0.500
Rb: 0.000 0.500 0.000
Rb: 0.000 0.500 0.500
Rb: 0.500 0.000 0.000
Rb: 0.500 0.000 0.500
Rb: 0.500 0.500 0.000
Na: 0.500 0.500 0.500

Summary:
The space group is Fm-3m, No. 225. As for the density of states at the Fermi level: 8.115 states/eV/cell. The calculation puts the total energy at -0.982 eV/atom. As for the polymorph energy (0 for the lowest one): 0.007 eV/atom.

=====

3.
This record from Alexandria describes RbNa5 after structural relaxation. The functional is GGA-PBE.

abc: 7.366 7.366 5.949
angles: 90.00 90.00 120.00
Fractional coordinates of all 6 atoms:
Rb: 0.000 0.000 0.000
Na: 0.000 0.500 0.500
Na: 0.333 0.667 0.000
Na: 0.500 0.000 0.500
Na: 0.500 0.500 0.500
Na: 0.667 0.333 0.000

Summary:
The space group is P6/mmm, No. 191. As for the density of states at the Fermi level: 2.390 states/eV/cell. The calculation puts the total energy at -1.236 eV/atom. As for the polymorph energy (0 for the lowest one): 0.000 eV/atom.

=====

4.
This record from Alexandria describes Rb6Na after structural relaxation. The functional is GGA-PBE.

abc: 7.530 7.530 10.827
angles: 90.00 90.00 90.00
Fractional coordinates of all 7 atoms:
Rb: 0.000 0.000 0.000
Rb: 0.000 0.500 0.248
Rb: 0.000 0.500 0.752
Rb: 0.500 0.000 0.248
Rb: 0.500 0.000 0.752
Rb: 0.500 0.500 0.500
Na: 0.500 0.500 0.000

Summary:
The space group is P4/mmm, No. 123. As for the density of states at the Fermi level: 5.622 states/eV/cell. The calculation puts the total energy at -0.947 eV/atom. As for the polymorph energy (0 for the lowest one): 0.023 eV/atom.

=====

5.
This record from Alexandria describes RbNa8 after structural relaxation. The functional is GGA-PBE.

abc: 8.639 8.639 8.639
angles: 96.19 96.19 141.65
Fractional coordinates of all 9 atoms:
Rb: 0.000 0.000 0.000
Na: 0.000 0.346 0.346
Na: 0.000 0.654 0.654
Na: 0.319 0.319 0.638
Na: 0.319 0.681 0.000
Na: 0.346 0.000 0.346
Na: 0.654 0.000 0.654
Na: 0.681 0.319 0.000
Na: 0.681 0.681 0.362

Summary:
The space group is I4/mmm, No. 139. As for the density of states at the Fermi level: 4.307 states/eV/cell. The calculation puts the total energy at -1.247 eV/atom.

=====

6.
This record from Alexandria describes RbNa2 after structural relaxation. The functional is GGA-PBE.

abc: 7.598 7.598 7.598
angles: 60.00 60.00 60.00
Fractional coordinates of all 6 atoms:
Rb: 0.125 0.125 0.125
Rb: 0.875 0.875 0.875
Na: 0.000 0.500 0.500
Na: 0.500 0.000 0.500
Na: 0.500 0.500 0.000
Na: 0.500 0.500 0.500

Summary:
The space group is Fd-3m, No. 227. As for the density of states at the Fermi level: 2.079 states/eV/cell. The calculation puts the total energy at -1.198 eV/atom.

=====

| no. | ρ (g/cm3) | formation energy from the elements (eV/atom) |
| --- | --- | --- |
| 1 | 1.40 | 0.04 |
| 2 | 1.55 | 0.03 |
| 3 | 1.19 | 0.02 |
| 4 | 1.45 | 0.07 |
| 5 | 1.18 | 0.03 |
| 6 | 1.41 | 0.00 |